An optimized crystal structure of La2CS, computed with PBE.

abc: 7.1099 13.9851 3.8947
angles: 90.00 90.00 90.00
Closest atoms and distances in Å follow each position.
Atoms (fractional coordinates):
1 La 0.2248 0.1125 0.2500  2 C 2.60
2 La 0.2248 0.8875 0.7500  2 C 2.60
3 La 0.2752 0.3875 0.7500  2 C 2.60
4 La 0.2752 0.6125 0.2500  2 C 2.60
5 La 0.7248 0.3875 0.7500  2 C 2.60
6 La 0.7248 0.6125 0.2500  2 C 2.60
7 La 0.7752 0.1125 0.2500  2 C 2.60
8 La 0.7752 0.8875 0.7500  2 C 2.60
9 C 0.0000 0.0677 0.7500  4 La 2.60, 2 C 2.72
10 C 0.0000 0.9323 0.2500  4 La 2.60, 2 C 2.72
11 C 0.5000 0.4323 0.2500  4 La 2.60, 2 C 2.72
12 C 0.5000 0.5677 0.7500  4 La 2.60, 2 C 2.72
13 S 0.0000 0.2930 0.2500  6 La 2.99-3.06
14 S 0.0000 0.7070 0.7500  6 La 2.99-3.06
15 S 0.5000 0.2070 0.7500  6 La 2.99-3.06
16 S 0.5000 0.7930 0.2500  6 La 2.99-3.06

Summary:
Energy (eV per atom): -6.458
Calculated volume (Å³ per cell): 387.26
M_tot (Bohr magnetons per cell): 0.10
Space group: Cmcm (63)
E_form (uncorrected) (eV per atom): -0.656

***

An optimized crystal structure of LaCS3, computed with PBE.

abc: 4.3876 4.3876 4.3876
angles: 90.00 90.00 90.00
Closest atoms and distances in Å follow each position.
Atoms (fractional coordinates):
1 La 0.0000 0.0000 0.0000  12 S 3.10
2 C 0.5000 0.5000 0.5000  6 S 2.19
3 S 0.0000 0.5000 0.5000  2 C 2.19
4 S 0.5000 0.0000 0.5000  2 C 2.19
5 S 0.5000 0.5000 0.0000  2 C 2.19

Summary:
Energy (eV per atom): -5.439
Calculated volume (Å³ per cell): 84.47
M_tot (Bohr magnetons per cell): 0.00
Space group: Pm-3m (221)
E_form (uncorrected) (eV per atom): -0.133

***

An optimized crystal structure of LaC2S, computed with PBE.

abc: 5.8300 5.8300 6.4685
angles: 90.00 90.00 90.00
Closest atoms and distances in Å follow each position.
Atoms (fractional coordinates):
1 La 0.0000 0.0000 0.0000  8 C 2.73-2.93
2 La 0.0000 0.5000 0.2500  8 C 2.73-2.93
3 La 0.5000 0.0000 0.7500  8 C 2.73-2.93
4 La 0.5000 0.5000 0.5000  8 C 2.73-2.93
5 C 0.1292 0.2500 0.6250  2 S 1.83
6 C 0.2500 0.6292 0.8750  2 S 1.83
7 C 0.2500 0.8708 0.3750  2 S 1.83
8 C 0.3708 0.2500 0.1250  2 S 1.83
9 C 0.6292 0.7500 0.1250  2 S 1.83
10 C 0.7500 0.1292 0.3750  2 S 1.83
11 C 0.7500 0.3708 0.8750  2 S 1.83
12 C 0.8708 0.7500 0.6250  2 S 1.83
13 S 0.0000 0.0000 0.5000  4 C 1.83
14 S 0.0000 0.5000 0.7500  4 C 1.83
15 S 0.5000 0.0000 0.2500  4 C 1.83
16 S 0.5000 0.5000 0.0000  4 C 1.83

Summary:
Energy (eV per atom): -6.048
Calculated volume (Å³ per cell): 219.86
M_tot (Bohr magnetons per cell): 0.00
Space group: I-42d (122)
E_form (uncorrected) (eV per atom): 0.828

***

An optimized crystal structure of La2CS, computed with PBE.

abc: 6.8858 6.8858 6.8858
angles: 90.00 90.00 90.00
Closest atoms and distances in Å follow each position.
Atoms (fractional coordinates):
1 La 0.2500 0.2500 0.2500  4 S 2.98, 4 C 2.98
2 La 0.2500 0.2500 0.7500  4 S 2.98, 4 C 2.98
3 La 0.2500 0.7500 0.2500  4 S 2.98, 4 C 2.98
4 La 0.2500 0.7500 0.7500  4 S 2.98, 4 C 2.98
5 La 0.7500 0.2500 0.2500  4 S 2.98, 4 C 2.98
6 La 0.7500 0.2500 0.7500  4 S 2.98, 4 C 2.98
7 La 0.7500 0.7500 0.2500  4 S 2.98, 4 C 2.98
8 La 0.7500 0.7500 0.7500  4 S 2.98, 4 C 2.98
9 C 0.0000 0.0000 0.0000  8 La 2.98
10 C 0.0000 0.5000 0.5000  8 La 2.98
11 C 0.5000 0.0000 0.5000  8 La 2.98
12 C 0.5000 0.5000 0.0000  8 La 2.98
13 S 0.0000 0.0000 0.5000  8 La 2.98
14 S 0.0000 0.5000 0.0000  8 La 2.98
15 S 0.5000 0.0000 0.0000  8 La 2.98
16 S 0.5000 0.5000 0.5000  8 La 2.98

Summary:
Energy (eV per atom): -6.324
Calculated volume (Å³ per cell): 326.48
M_tot (Bohr magnetons per cell): 0.00
Space group: Fm-3m (225)
E_form (uncorrected) (eV per atom): -0.522

***

An optimized crystal structure of LaC2S2, computed with PBE.

abc: 7.4959 7.4959 2.9089
angles: 90.00 90.00 90.00
Closest atoms and distances in Å follow each position.
Atoms (fractional coordinates):
1 La 0.0000 0.0000 0.0000  4 S 2.89, 2 La 2.91, 8 C 3.02
2 La 0.5000 0.5000 0.0000  4 S 2.89, 2 La 2.91, 8 C 3.02
3 C 0.2461 0.2539 0.5000  2 S 1.83
4 C 0.2539 0.7539 0.5000  2 S 1.83
5 C 0.7461 0.2461 0.5000  2 S 1.83
6 C 0.7539 0.7461 0.5000  2 S 1.83
7 S 0.1420 0.3580 0.0000  2 C 1.83
8 S 0.3580 0.8580 0.0000  2 C 1.83
9 S 0.6420 0.1420 0.0000  2 C 1.83
10 S 0.8580 0.6420 0.0000  2 C 1.83

Summary:
Energy (eV per atom): -5.788
Calculated volume (Å³ per cell): 163.44
M_tot (Bohr magnetons per cell): 0.00
Space group: P4/mbm (127)
E_form (uncorrected) (eV per atom): 0.538

***

An optimized crystal structure of La3CS, computed with PBE.

abc: 5.0751 5.0751 5.0751
angles: 90.00 90.00 90.00
Closest atoms and distances in Å follow each position.
Atoms (fractional coordinates):
1 La 0.0000 0.0000 0.5000  2 C 2.54
2 La 0.0000 0.5000 0.0000  2 C 2.54
3 La 0.5000 0.0000 0.0000  2 C 2.54
4 C 0.0000 0.0000 0.0000  6 La 2.54
5 S 0.5000 0.5000 0.5000  12 La 3.59

Summary:
Energy (eV per atom): -6.024
Calculated volume (Å³ per cell): 130.72
M_tot (Bohr magnetons per cell): 0.00
Space group: Pm-3m (221)
E_form (uncorrected) (eV per atom): -0.397

***

An optimized crystal structure of La4CS3, computed with PBE.

abc: 7.1639 8.2613 7.0460
angles: 90.00 109.50 90.00
Closest atoms and distances in Å follow each position.
Atoms (fractional coordinates):
1 La 0.2238 0.1110 0.0026  2 C 2.74-2.81, 2 S 2.91-2.94
2 La 0.2238 0.8890 0.5026  2 C 2.74-2.81, 2 S 2.91-2.94
3 La 0.2350 0.3550 0.4811  1 C 2.65, 4 S 2.89-2.93
4 La 0.2350 0.6450 0.9811  1 C 2.65, 4 S 2.89-2.93
5 La 0.7650 0.3550 0.0189  1 C 2.65, 4 S 2.89-2.93
6 La 0.7650 0.6450 0.5189  1 C 2.65, 4 S 2.89-2.93
7 La 0.7762 0.1110 0.4974  2 C 2.74-2.81, 2 S 2.91-2.94
8 La 0.7762 0.8890 0.9974  2 C 2.74-2.81, 2 S 2.91-2.94
9 C 0.0000 0.1324 0.2500  6 La 2.65-2.81
10 C 0.0000 0.8676 0.7500  6 La 2.65-2.81
11 S 0.0000 0.3757 0.7500  6 La 2.93-2.94
12 S 0.0000 0.6243 0.2500  6 La 2.93-2.94
13 S 0.5000 0.1255 0.7500  6 La 2.90-3.07
14 S 0.5000 0.3761 0.2500  6 La 2.89-3.12
15 S 0.5000 0.6239 0.7500  6 La 2.89-3.12
16 S 0.5000 0.8745 0.2500  6 La 2.90-3.07

Summary:
Energy (eV per atom): -6.823
Calculated volume (Å³ per cell): 393.09
M_tot (Bohr magnetons per cell): 0.00
Space group: P2/c (13)
E_form (uncorrected) (eV per atom): -1.659

***

An optimized crystal structure of La2CS, computed with PBE.

abc: 3.9287 3.9287 21.0158
angles: 90.00 90.00 120.00
Closest atoms and distances in Å follow each position.
Atoms (fractional coordinates):
1 La 0.0000 0.0000 0.0000  3 C 2.70
2 La 0.0000 0.0000 0.1920  3 C 2.72, 3 S 3.04
3 La 0.3333 0.6667 0.6667  3 C 2.70
4 La 0.3333 0.6667 0.8587  3 C 2.72, 3 S 3.04
5 La 0.6667 0.3333 0.3333  3 C 2.70
6 La 0.6667 0.3333 0.5254  3 C 2.72, 3 S 3.04
7 C 0.0000 0.0000 0.5969  6 La 2.70-2.72
8 C 0.3333 0.6667 0.2636  6 La 2.70-2.72
9 C 0.6667 0.3333 0.9302  6 La 2.70-2.72
10 S 0.0000 0.0000 0.4287  6 La 3.03-3.04
11 S 0.3333 0.6667 0.0954  6 La 3.03-3.04
12 S 0.6667 0.3333 0.7621  6 La 3.03-3.04

Summary:
Energy (eV per atom): -6.833
Calculated volume (Å³ per cell): 280.92
M_tot (Bohr magnetons per cell): 0.00
Space group: R3m (160)
E_form (uncorrected) (eV per atom): -1.031